[1]
Density functional theory data (GGA-PBE) for a relaxed BaSr2AlGa crystal.

Calculated values
Symmetry: P4/mmm, No. 123
Calculated formation energy (eV/f.u.): 1.32
Size of the total moment (μB per cell): 2.4

Lattice parameters (Å, degrees): 6.252 6.361 6.252 90.00 90.00 90.00
Atoms (fractional coordinates):
1 Sr 0.000 0.000 0.500
2 Sr 0.500 0.000 0.000
3 Al 0.000 0.000 0.000
4 Ba 0.000 0.500 0.000
5 Ga 0.500 0.500 0.500


[2]
Density functional theory data (GGA-PBE) for a relaxed LiCaLaHo crystal.

Calculated values
Symmetry: F-43m, No. 216
Calculated formation energy (eV/f.u.): 0.81
Size of the total moment (μB per cell): 0.0

Lattice parameters (Å, degrees): 5.708 5.708 5.708 60.00 60.00 60.00
Atoms (fractional coordinates):
1 Ca 0.250 0.250 0.250
2 Ho 0.500 0.500 0.500
3 Li 0.000 0.000 0.000
4 La 0.750 0.750 0.750


[3]
Density functional theory data (GGA-PBE) for a relaxed KTl5Cd2 crystal.

Calculated values
Symmetry: Immm, No. 71
Calculated formation energy (eV/f.u.): -0.11
Size of the total moment (μB per cell): 0.0

Lattice parameters (Å, degrees): 4.888 7.910 7.910 66.55 72.00 72.00
Atoms (fractional coordinates):
1 Tl 0.363 0.831 0.442
2 Tl 0.000 0.500 0.500
3 Tl 0.637 0.558 0.169
4 Tl 0.363 0.442 0.831
5 Tl 0.637 0.169 0.558
6 K 0.000 0.000 0.000
7 Cd 0.249 0.251 0.251
8 Cd 0.751 0.749 0.749


[4]
Density functional theory data (GGA-PBE) for a relaxed La4Dy5Y4 crystal.

Calculated values
Symmetry: I4/m, No. 87
Calculated formation energy (eV/f.u.): 0.37
Size of the total moment (μB per cell): 0.0

Lattice parameters (Å, degrees): 5.121 9.565 9.565 85.89 74.47 74.47
Atoms (fractional coordinates):
1 Dy 0.312 0.148 0.227
2 Dy 0.540 0.773 0.148
3 Dy 0.460 0.227 0.852
4 Dy 0.688 0.852 0.773
5 Dy 0.000 0.000 0.000
6 La 0.922 0.461 0.695
7 La 0.383 0.695 0.539
8 La 0.078 0.539 0.305
9 La 0.617 0.305 0.461
10 Y 0.152 0.076 0.619
11 Y 0.229 0.619 0.924
12 Y 0.771 0.381 0.076
13 Y 0.848 0.924 0.381


[5]
Density functional theory data (GGA-PBE) for a relaxed KNb2Br6 crystal.

Calculated values
Formation energy (no corrections) (eV per atom): -0.78
Symmetry: C2/c, No. 15
Energy relative to the lowest polymorph listed for this composition (eV per atom): 0.097
Size of the total moment (μB per cell): 5.8

Lattice parameters (Å, degrees): 6.663 9.836 9.836 62.12 82.75 82.75
Atoms (fractional coordinates):
1 Br 0.950 0.375 0.377
2 Br 0.734 0.580 0.013
3 Br 0.550 0.623 0.625
4 Br 0.234 0.013 0.580
5 Br 0.050 0.625 0.623
6 Br 0.450 0.377 0.375
7 Br 0.766 0.987 0.420
8 Br 0.295 0.003 0.209
9 Br 0.266 0.420 0.987
10 Br 0.205 0.791 0.997
11 Br 0.705 0.997 0.791
12 Br 0.795 0.209 0.003
13 Nb 0.754 0.776 0.716
14 Nb 0.246 0.224 0.284
15 Nb 0.746 0.284 0.224
16 Nb 0.254 0.716 0.776
17 K 0.750 0.822 0.178
18 K 0.250 0.178 0.822


[6]
Density functional theory data (GGA-PBE) for a relaxed MgCd2 crystal.

Calculated values
Symmetry: C2/c, No. 15
Calculated formation energy (eV/f.u.): -0.22
Size of the total moment (μB per cell): 0.0

Lattice parameters (Å, degrees): 5.264 5.264 6.258 64.82 64.82 60.23
Atoms (fractional coordinates):
1 Mg 0.913 0.087 0.750
2 Mg 0.087 0.913 0.250
3 Cd 0.422 0.247 0.242
4 Cd 0.753 0.578 0.258
5 Cd 0.247 0.422 0.742
6 Cd 0.578 0.753 0.758


[7]
Density functional theory data (GGA-PBE) for a relaxed Cd2IrCl crystal.

Calculated values
Formation energy (no corrections) (eV per atom): 0.46
Symmetry: I4/mmm, No. 139
Energy relative to the lowest polymorph listed for this composition (eV per atom): 0.588
Size of the total moment (μB per cell): 0.0

Lattice parameters (Å, degrees): 5.180 5.180 5.180 131.60 131.60 70.86
Atoms (fractional coordinates):
1 Cd 0.000 0.000 0.000
2 Cd 0.500 0.500 0.000
3 Cl 0.250 0.750 0.500
4 Ir 0.750 0.250 0.500


[8]
Density functional theory data (GGA-PBE) for a relaxed BaHg2TeOs crystal.

Calculated values
Formation energy (no corrections) (eV per atom): 1.09
Symmetry: P4/mmm, No. 123
Size of the total moment (μB per cell): 2.4

Lattice parameters (Å, degrees): 5.528 6.747 5.528 90.00 90.00 90.00
Atoms (fractional coordinates):
1 Hg 0.500 0.000 0.000
2 Hg 0.000 0.000 0.500
3 Os 0.500 0.500 0.500
4 Te 0.000 0.000 0.000
5 Ba 0.000 0.500 0.000


[9]
Density functional theory data (GGA-PBE) for a relaxed CeSmRh crystal.

Calculated values
Symmetry: Cm, No. 8
Energy relative to the lowest polymorph listed for this composition (eV per atom): 0.000
Calculated formation energy (eV/f.u.): -1.52
Size of the total moment (μB per cell): 1.2

Lattice parameters (Å, degrees): 3.844 6.252 7.132 76.26 74.37 72.10
Atoms (fractional coordinates):
1 Rh 0.309 0.527 0.854
2 Rh 0.016 0.784 0.185
3 Sm 0.006 0.413 0.575
4 Sm 0.594 0.953 0.858
5 Ce 0.344 0.897 0.416
6 Ce 0.754 0.366 0.126


[10]
Density functional theory data (GGA-PBE) for a relaxed SrLa2BiBr crystal.

Calculated values
Formation energy (no corrections) (eV per atom): -0.17
Symmetry: P4/mmm, No. 123
Size of the total moment (μB per cell): 3.1

Lattice parameters (Å, degrees): 6.234 6.384 6.234 90.00 90.00 90.00
Atoms (fractional coordinates):
1 La 0.000 0.000 0.500
2 La 0.500 0.000 0.000
3 Br 0.500 0.500 0.500
4 Bi 0.000 0.000 0.000
5 Sr 0.000 0.500 0.000


[11]
Density functional theory data (GGA-PBE) for a relaxed Dy3Y2Cu3 crystal.

Calculated values
Symmetry: Immm, No. 71
Calculated formation energy (eV/f.u.): -1.14
Size of the total moment (μB per cell): 0.0

Lattice parameters (Å, degrees): 3.546 5.106 10.917 103.52 99.35 90.00
Atoms (fractional coordinates):
1 Cu 0.886 0.886 0.773
2 Cu 0.114 0.114 0.227
3 Cu 0.000 0.500 0.000
4 Y 0.275 0.775 0.549
5 Y 0.725 0.225 0.451
6 Dy 0.500 0.000 0.000
7 Dy 0.385 0.385 0.769
8 Dy 0.615 0.615 0.231


[12]
Density functional theory data (GGA-PBE) for a relaxed Li2CaAl crystal.

Calculated values
Symmetry: Cm, No. 8
Calculated formation energy (eV/f.u.): -0.20
Size of the total moment (μB per cell): 0.0

Lattice parameters (Å, degrees): 5.460 5.460 5.065 62.46 62.46 43.53
Atoms (fractional coordinates):
1 Ca 0.250 0.250 0.250
2 Li 0.747 0.747 0.753
3 Li 0.026 0.026 0.973
4 Al 0.477 0.477 0.524


[13]
Density functional theory data (GGA-PBE) for a relaxed Ho3Mg2Cu2 crystal.

Calculated values
Symmetry: Cmmm, No. 65
Calculated formation energy (eV/f.u.): -1.24
Size of the total moment (μB per cell): 0.0

Lattice parameters (Å, degrees): 4.245 3.598 10.878 90.00 78.75 90.00
Atoms (fractional coordinates):
1 Cu 0.283 0.500 0.435
2 Cu 0.717 0.500 0.565
3 Ho 0.825 0.000 0.350
4 Ho 0.175 0.000 0.650
5 Ho 0.000 0.000 0.000
6 Mg 0.585 0.500 0.831
7 Mg 0.415 0.500 0.169


[14]
Density functional theory data (GGA-PBE) for a relaxed ErSbPd2 crystal.

Calculated values
Formation energy (no corrections) (eV per atom): -0.70
Symmetry: Pmmm, No. 47
Size of the total moment (μB per cell): 0.0

Lattice parameters (Å, degrees): 4.354 3.429 5.729 90.02 90.00 90.00
Atoms (fractional coordinates):
1 Sb 0.500 0.000 0.500
2 Pd 0.000 0.000 0.234
3 Pd 0.000 0.000 0.766
4 Er 0.500 0.500 0.000


[15]
Density functional theory data (GGA-PBE) for a relaxed NaIr2Pb2 crystal.

Calculated values
Symmetry: P4/mbm, No. 127
Energy relative to the lowest polymorph listed for this composition (eV per atom): 0.045
Calculated formation energy (eV/f.u.): 1.28
Size of the total moment (μB per cell): 0.0

Lattice parameters (Å, degrees): 8.091 8.091 3.163 90.00 90.00 90.00
Atoms (fractional coordinates):
1 Na 0.000 0.000 0.000
2 Na 0.500 0.500 0.000
3 Ir 0.132 0.368 0.000
4 Ir 0.632 0.132 0.000
5 Ir 0.868 0.632 0.000
6 Ir 0.368 0.868 0.000
7 Pb 0.663 0.837 0.500
8 Pb 0.337 0.163 0.500
9 Pb 0.163 0.663 0.500
10 Pb 0.837 0.337 0.500


[16]
Density functional theory data (GGA-PBE) for a relaxed KNa3Li crystal.

Calculated values
Symmetry: Pm-3m, No. 221
Energy relative to the lowest polymorph listed for this composition (eV per atom): 0.406
Calculated formation energy (eV/f.u.): 2.33
Size of the total moment (μB per cell): 0.0

Lattice parameters (Å, degrees): 6.442 6.442 6.442 90.00 90.00 90.00
Atoms (fractional coordinates):
1 Li 0.500 0.500 0.500
2 Na 0.500 0.000 0.000
3 Na 0.000 0.000 0.500
4 Na 0.000 0.500 0.000
5 K 0.000 0.000 0.000


[17]
Density functional theory data (GGA-PBE) for a relaxed Pr4GaRh crystal.

Calculated values
Symmetry: F-43m, No. 216
Energy relative to the lowest polymorph listed for this composition (eV per atom): 0.000
Calculated formation energy (eV/f.u.): -2.64
Size of the total moment (μB per cell): 0.0

Lattice parameters (Å, degrees): 9.884 9.884 9.884 60.00 60.00 60.00
Atoms (fractional coordinates):
1 Rh 0.608 0.177 0.608
2 Rh 0.608 0.608 0.608
3 Rh 0.608 0.608 0.177
4 Rh 0.177 0.608 0.608
5 Ga 0.173 0.482 0.173
6 Ga 0.173 0.173 0.173
7 Ga 0.173 0.173 0.482
8 Ga 0.482 0.173 0.173
9 Pr 0.398 0.807 0.398
10 Pr 0.946 0.946 0.554
11 Pr 0.187 0.813 0.813
12 Pr 0.398 0.398 0.398
13 Pr 0.187 0.813 0.187
14 Pr 0.187 0.187 0.813
15 Pr 0.554 0.946 0.946
16 Pr 0.946 0.554 0.554
17 Pr 0.807 0.398 0.398
18 Pr 0.813 0.813 0.187
19 Pr 0.554 0.554 0.946
20 Pr 0.813 0.187 0.813
21 Pr 0.398 0.398 0.807
22 Pr 0.554 0.946 0.554
23 Pr 0.946 0.554 0.946
24 Pr 0.813 0.187 0.187


[18]
Density functional theory data (GGA-PBE) for a relaxed HoCuO crystal.

Calculated values
Formation energy (no corrections) (eV per atom): -1.46
Symmetry: I4/mmm, No. 139
Size of the total moment (μB per cell): 0.0

Lattice parameters (Å, degrees): 3.565 3.565 8.120 102.68 102.68 90.00
Atoms (fractional coordinates):
1 Cu 0.724 0.724 0.448
2 Cu 0.276 0.276 0.552
3 Ho 0.910 0.910 0.820
4 Ho 0.090 0.090 0.180
5 O 0.500 0.000 0.000
6 O 0.000 0.500 0.000


[19]
Density functional theory data (GGA-PBE) for a relaxed Pm3ScCd12 crystal.

Calculated values
Symmetry: P4/mmm, No. 123
Calculated formation energy (eV/f.u.): -3.84
Size of the total moment (μB per cell): 0.0

Lattice parameters (Å, degrees): 4.640 4.640 18.249 90.00 90.00 90.00
Atoms (fractional coordinates):
1 Cd 0.500 0.000 0.371
2 Cd 0.500 0.500 0.500
3 Cd 0.000 0.500 0.114
4 Cd 0.500 0.500 0.000
5 Cd 0.500 0.000 0.886
6 Cd 0.500 0.500 0.240
7 Cd 0.500 0.000 0.629
8 Cd 0.500 0.500 0.760
9 Cd 0.500 0.000 0.114
10 Cd 0.000 0.500 0.371
11 Cd 0.000 0.500 0.629
12 Cd 0.000 0.500 0.886
13 Sc 0.000 0.000 0.000
14 Pm 0.000 0.000 0.241
15 Pm 0.000 0.000 0.500
16 Pm 0.000 0.000 0.759


[20]
Density functional theory data (GGA-PBE) for a relaxed Ta2MnCl crystal.

Calculated values
Formation energy (no corrections) (eV per atom): 0.51
Symmetry: Cmmm, No. 65
Energy relative to the lowest polymorph listed for this composition (eV per atom): 0.555
Size of the total moment (μB per cell): 1.3

Lattice parameters (Å, degrees): 4.610 4.610 2.912 90.00 90.00 90.20
Atoms (fractional coordinates):
1 Cl 0.500 0.000 0.500
2 Ta 0.500 0.500 0.000
3 Ta 0.000 0.000 0.000
4 Mn 0.000 0.500 0.500